Entry 1:
Material: Ho7ErTl4
Method: DFT, GGA-PBE
State: relaxed

Cell and atoms, written as CIF:
```
data_Ho7ErTl4
_chemical_formula_sum 'Ho14 Er2 Tl8'
_cell_length_a 14.894
_cell_length_b 5.758
_cell_length_c 9.728
_cell_angle_alpha 90.00
_cell_angle_beta 121.56
_cell_angle_gamma 90.00
_space_group_name_H-M_alt 'C 1 2/m 1'
_space_group_IT_number 12
_space_group_name_Hall '-C 2y'
loop_
_atom_site_label
_atom_site_fract_x
_atom_site_fract_y
_atom_site_fract_z
Ho1 0.000 0.000 0.000
Ho2 0.068 0.500 0.407
Ho3 0.204 0.500 0.879
Ho4 0.244 0.000 0.697
Er1 0.000 0.500 0.000
Tl1 0.048 0.000 0.711
Tl2 0.185 0.000 0.338
```

Calculated values
DFT formation energy ... 0.0 eV/f.u.
DFT total energy ... -3.840 eV per atom
D(E_F) ... 27.01 states/eV per cell

Entry 2:
Material: Re8Pb
Method: DFT, GGA-PBE
State: relaxed

Cell and atoms, written as CIF:
```
data_Re8Pb
_chemical_formula_sum 'Re16 Pb2'
_cell_length_a 8.509
_cell_length_b 8.509
_cell_length_c 3.995
_cell_angle_alpha 90.00
_cell_angle_beta 90.00
_cell_angle_gamma 90.00
_space_group_name_H-M_alt 'I 4/m m m'
_space_group_IT_number 139
_space_group_name_Hall '-I 4 2'
loop_
_atom_site_label
_atom_site_fract_x
_atom_site_fract_y
_atom_site_fract_z
Re1 0.000 0.346 0.000
Re2 0.184 0.184 0.500
Pb1 0.000 0.000 0.000
```

Calculated values
DFT formation energy ... 2.6 eV/f.u.
DFT total energy ... -11.189 eV per atom
D(E_F) ... 10.83 states/eV per cell

Entry 3:
Material: TaAs2Pt
Method: DFT, GGA-PBE
State: relaxed

Cell and atoms, written as CIF:
```
data_TaAs2Pt
_chemical_formula_sum 'Ta2 As4 Pt2'
_cell_length_a 3.561
_cell_length_b 3.638
_cell_length_c 10.851
_cell_angle_alpha 90.00
_cell_angle_beta 90.00
_cell_angle_gamma 90.00
_space_group_name_H-M_alt 'I m m 2'
_space_group_IT_number 44
_space_group_name_Hall 'I 2 -2'
loop_
_atom_site_label
_atom_site_fract_x
_atom_site_fract_y
_atom_site_fract_z
Ta1 0.000 0.000 0.000
As1 0.000 0.000 0.581
As2 0.000 0.500 0.824
Pt1 0.000 0.500 0.276
```

Calculated values
DFT formation energy ... -0.8 eV/f.u.
DFT total energy ... -6.990 eV per atom
D(E_F) ... 5.55 states/eV per cell

Entry 4:
Material: Ca2Cd3Pb3
Method: DFT, GGA-PBE
State: relaxed

Cell and atoms, written as CIF:
```
data_Ca2Cd3Pb3
_chemical_formula_sum 'Ca2 Cd3 Pb3'
_cell_length_a 4.793
_cell_length_b 4.970
_cell_length_c 9.196
_cell_angle_alpha 90.00
_cell_angle_beta 90.00
_cell_angle_gamma 90.00
_space_group_name_H-M_alt 'P m m m'
_space_group_IT_number 47
_space_group_name_Hall '-P 2 2'
loop_
_atom_site_label
_atom_site_fract_x
_atom_site_fract_y
_atom_site_fract_z
Ca1 0.000 0.000 0.249
Cd1 0.000 0.500 0.000
Cd2 0.500 0.500 0.240
Pb1 0.000 0.500 0.500
Pb2 0.500 0.000 0.000
Pb3 0.500 0.000 0.500
```

Calculated values
DFT formation energy ... -2.2 eV/f.u.
DFT total energy ... -2.515 eV per atom
D(E_F) ... 4.72 states/eV per cell

Entry 5:
Material: Ac2Ag2As3
Method: DFT, GGA-PBE
State: relaxed

Cell and atoms, written as CIF:
```
data_Ac2Ag2As3
_chemical_formula_sum 'Ac8 Ag8 As12'
_cell_length_a 16.350
_cell_length_b 4.510
_cell_length_c 12.491
_cell_angle_alpha 90.00
_cell_angle_beta 126.49
_cell_angle_gamma 90.00
_space_group_name_H-M_alt 'C 1 2/m 1'
_space_group_IT_number 12
_space_group_name_Hall '-C 2y'
loop_
_atom_site_label
_atom_site_fract_x
_atom_site_fract_y
_atom_site_fract_z
Ac1 0.104 0.000 0.436
Ac2 0.241 0.000 0.840
Ag1 0.048 0.500 0.820
Ag2 0.088 0.000 0.151
As1 0.078 0.500 0.620
As2 0.121 0.000 0.964
As3 0.163 0.500 0.317
```

Calculated values
DFT formation energy ... -5.8 eV/f.u.
DFT total energy ... -4.806 eV per atom
D(E_F) ... 0.88 states/eV per cell

Entry 6:
Material: BaCaCe
Method: DFT, GGA-PBE
State: relaxed

Cell and atoms, written as CIF:
```
data_BaCaCe
_chemical_formula_sum 'Ba4 Ca4 Ce4'
_cell_length_a 19.259
_cell_length_b 3.982
_cell_length_c 7.092
_cell_angle_alpha 90.00
_cell_angle_beta 104.33
_cell_angle_gamma 90.00
_space_group_name_H-M_alt 'C 1 2/m 1'
_space_group_IT_number 12
_space_group_name_Hall '-C 2y'
loop_
_atom_site_label
_atom_site_fract_x
_atom_site_fract_y
_atom_site_fract_z
Ba1 0.127 0.000 0.326
Ca1 0.071 0.500 0.798
Ce1 0.236 0.000 0.872
```

Calculated values
DFT formation energy ... 0.6 eV/f.u.
DFT total energy ... -3.070 eV per atom
D(E_F) ... 25.40 states/eV per cell